Entry from Alexandria: a relaxed Be2AsRu crystal (PBEsol).

energy of formation from the pure elements = -30.7 meV/atom
calculated total energy = -23.40 eV/cell

a = 3.724 Å, b = 3.724 Å, c = 3.186 Å
α = 90.00°, β = 90.00°, γ = 90.00°
Atoms (fractional coordinates):
Be1 0.000 0.500 0.000
Be2 0.500 0.000 0.000
As1 0.000 0.000 0.500
Ru1 0.500 0.500 0.500

Entry from Alexandria: a relaxed BeAsRu2 crystal (PBEsol).

energy of formation from the pure elements = -260.7 meV/atom
calculated total energy = -30.49 eV/cell

a = 4.079 Å, b = 4.079 Å, c = 4.079 Å
α = 60.00°, β = 60.00°, γ = 60.00°
Atoms (fractional coordinates):
Be1 0.000 0.000 0.000
As1 0.500 0.500 0.500
Ru1 0.250 0.250 0.250
Ru2 0.750 0.750 0.750

Entry from Alexandria: a relaxed BeAsRu2 crystal (PBEsol).

energy of formation from the pure elements = -28.0 meV/atom
calculated total energy = -29.56 eV/cell

a = 4.106 Å, b = 4.106 Å, c = 4.724 Å
α = 103.87°, β = 103.87°, γ = 40.95°
Atoms (fractional coordinates):
Be1 0.000 0.000 0.000
As1 0.500 0.500 0.500
Ru1 0.269 0.269 0.769
Ru2 0.731 0.731 0.231